Density functional theory data (PBE-GGA) for a geometry-optimized CaLaY2C structure.

Output
As for the total energy: -29.0 eV for the cell shown. For the formation energy from the elements, the calculation gives 0.1 eV per formula unit. Its calculated volume is 142.7 Å³/cell.

a = 5.053 Å, b = 5.053 Å, c = 5.589 Å
α = 90.00°, β = 90.00°, γ = 90.00°
Space group P4/mmm (No. 123)
One atom of each set of equivalent atoms:
1 Ca 0.000 0.000 0.000 x1
2 La 0.500 0.500 0.000 x1
3 Y 0.000 0.500 0.500 x2
4 C 0.500 0.500 0.500 x1